Entry 1:
The following is a PBE calculation of a geometry-optimized CeNbP2 structure, from the Alexandria database.

The space group is R-3m (No. 166, hexagonal axes) and the conventional cell measures 3.8225, 3.8225 and 18.4950 Å, with angles of 90.00, 90.00 and 120.00 degrees. Symmetry generates all atoms from Ce at (0.0000, 0.0000, 0.0000), Nb at (0.0000, 0.0000, 0.5000) and P at (0.0000, 0.0000, 0.2403).

The calculation puts the relative energy among the computed polymorphs at 0.0 meV/atom. The calculation puts the theoretical density at 6.28 g/cm³. The calculation puts the calculated formation energy at -1143 meV/atom.

Entry 2:
The following is a PBE calculation of a geometry-optimized Nd3DyPu2S6 structure, from the Alexandria database.

The space group is C2/m (No. 12) and the conventional cell measures 6.9159, 11.9802 and 6.9665 Å, with angles of 90.00, 109.29 and 90.00 degrees. Symmetry generates all atoms from Nd at (0.0000, 0.0000, 0.0000), Nd at (0.0000, 0.3328, 0.0000), Dy at (0.0000, 0.5000, 0.5000), Pu at (0.0000, 0.1665, 0.5000), S at (0.2453, 0.3340, 0.7378) and S at (0.2479, 0.0000, 0.7394).

The calculation puts the theoretical density at 7.78 g/cm³. The value obtained for the total energy is -191.501 eV per cell.

Entry 3:
The following is a PBE calculation of a geometry-optimized U2Co5Ge4 structure, from the Alexandria database.

The space group is Fmmm (No. 69) and the conventional cell measures 5.3663, 9.1231 and 13.9345 Å, with angles of 90.00, 90.00 and 90.00 degrees. Symmetry generates all atoms from U at (0.0000, 0.0000, 0.1291), Co at (0.0000, 0.0000, 0.5000), Co at (0.2500, 0.2500, 0.0000), Co at (0.2500, 0.2500, 0.2500) and Ge at (0.0000, 0.1538, 0.3686).

The calculation puts the theoretical density at 10.33 g/cm³. The calculation puts the calculated formation energy at -200 meV/atom.

Entry 4:
The following is a PBE calculation of a geometry-optimized BeP3Pd structure, from the Alexandria database.

The space group is Pm-3m (No. 221) and the conventional cell measures 4.2072, 4.2072 and 4.2072 Å, with angles of 90.00, 90.00 and 90.00 degrees. Symmetry generates all atoms from Be at (0.0000, 0.0000, 0.0000), P at (0.0000, 0.0000, 0.5000) and Pd at (0.5000, 0.5000, 0.5000).

The calculation puts the relative energy among the computed polymorphs at 0.0 meV/atom. The calculation puts the theoretical density at 4.65 g/cm³. The calculation puts the calculated formation energy at 604 meV/atom.

Entry 5:
The following is a PBE calculation of a geometry-optimized Li2CaAlPd structure, from the Alexandria database.

The space group is P4/mmm (No. 123) and the conventional cell measures 4.7977, 4.7977 and 4.8043 Å, with angles of 90.00, 90.00 and 90.00 degrees. Symmetry generates all atoms from Li at (0.0000, 0.5000, 0.0000), Ca at (0.0000, 0.0000, 0.5000), Al at (0.5000, 0.5000, 0.5000) and Pd at (0.5000, 0.5000, 0.0000).

The calculation puts the theoretical density at 2.81 g/cm³. The calculation puts the calculated formation energy at -262 meV/atom.

Entry 6:
The following is a PBE calculation of a geometry-optimized Pm12Sn6Hg structure, from the Alexandria database.

The space group is R-3 (No. 148, hexagonal axes) and the conventional cell measures 13.8678, 13.8678 and 12.4038 Å, with angles of 90.00, 90.00 and 120.00 degrees. Symmetry generates all atoms from Pm at (0.0299, 0.2003, 0.3892), Pm at (0.0589, 0.2160, 0.8895), Sn at (0.0410, 0.2686, 0.6451) and Hg at (0.0000, 0.0000, 0.0000).

The calculation puts the theoretical density at 6.40 g/cm³. The calculation puts the calculated formation energy at -362 meV/atom.

Entry 7:
The following is a PBE calculation of a geometry-optimized K4Np3VTe8 structure, from the Alexandria database.

The space group is R-3m (No. 166, hexagonal axes) and the conventional cell measures 8.9004, 8.9004 and 24.7018 Å, with angles of 90.00, 90.00 and 120.00 degrees. Symmetry generates all atoms from K at (0.0000, 0.0000, 0.0000), K at (0.0000, 0.5000, 0.0000), Np at (0.0000, 0.5000, 0.5000), V at (0.0000, 0.0000, 0.5000), Te at (0.0000, 0.0000, 0.2379) and Te at (0.0178, 0.5089, 0.2338).

The calculation puts the theoretical density at 5.70 g/cm³. The value obtained for the total energy is -271.160 eV per cell.

Entry 8:
The following is a PBE calculation of a geometry-optimized SrSi2IrRu structure, from the Alexandria database.

The space group is P4/mmm (No. 123) and the conventional cell measures 4.5321, 4.5321 and 5.5530 Å, with angles of 90.00, 90.00 and 90.00 degrees. Symmetry generates all atoms from Sr at (0.0000, 0.0000, 0.0000), Si at (0.0000, 0.5000, 0.5000), Ir at (0.5000, 0.5000, 0.0000) and Ru at (0.0000, 0.0000, 0.5000).

The calculation puts the relative energy among the computed polymorphs at 1432.7 meV/atom. The calculation puts the theoretical density at 6.36 g/cm³.

Entry 9:
The following is a PBE calculation of a geometry-optimized PmGaRh structure, from the Alexandria database.

The space group is Cmcm (No. 63) and the conventional cell measures 3.7748, 14.7850 and 4.4430 Å, with angles of 90.00, 90.00 and 90.00 degrees. Symmetry generates all atoms from Pm at (0.0000, 0.0869, 0.2500), Ga at (0.0000, 0.2506, 0.7500) and Rh at (0.0000, 0.3628, 0.2500).

The calculation puts the relative energy among the computed polymorphs at 247.4 meV/atom. The calculation puts the theoretical density at 8.51 g/cm³. The calculation puts the calculated formation energy at -589 meV/atom.

Entry 10:
The following is a PBE calculation of a geometry-optimized Rb2NpI2Cl4 structure, from the Alexandria database.

The space group is I4/mmm (No. 139) and the conventional cell measures 7.8330, 7.8330 and 11.5453 Å, with angles of 90.00, 90.00 and 90.00 degrees. Symmetry generates all atoms from Rb at (0.0000, 0.5000, 0.2500), Np at (0.0000, 0.0000, 0.0000), I at (0.0000, 0.0000, 0.2631) and Cl at (0.2340, 0.2340, 0.0000).

The calculation puts the theoretical density at 3.77 g/cm³. The value obtained for the total energy is -79.489 eV per cell.

> theoretical density of number 7 (K4Np3VTe8)?

5.70 g/cm³

> The highest theoretical density belongs to which entry?

U2Co5Ge4

Repeat the seventh record exactly.
The following is a PBE calculation of a geometry-optimized K4Np3VTe8 structure, from the Alexandria database.

The space group is R-3m (No. 166, hexagonal axes) and the conventional cell measures 8.9004, 8.9004 and 24.7018 Å, with angles of 90.00, 90.00 and 120.00 degrees. Symmetry generates all atoms from K at (0.0000, 0.0000, 0.0000), K at (0.0000, 0.5000, 0.0000), Np at (0.0000, 0.5000, 0.5000), V at (0.0000, 0.0000, 0.5000), Te at (0.0000, 0.0000, 0.2379) and Te at (0.0178, 0.5089, 0.2338).

The calculation puts the theoretical density at 5.70 g/cm³. The value obtained for the total energy is -271.160 eV per cell.